# 1
# CaAl2Ge2

CaAl2Ge2 after structural relaxation (PBE, the Alexandria database).

Cell and atoms, written as POSCAR:
```
CaAl2Ge2
1.0
4.2063 0.0000 0.0000
-2.1031 3.6427 0.0000
0.0000 0.0000 7.1468
Ca Al Ge
1 2 2
Cartesian
0.0000 0.0000 0.0000
0.0000 2.4285 4.4947
2.1031 1.2142 2.6522
0.0000 2.4285 1.8528
2.1031 1.2142 5.2940
```

- Total energy: -20.69 eV for the cell shown
- Space-group type: P-3m1 (164)
- Calculated formation energy: -393 meV per atom

---

# 2
# CaAl2Ge2

CaAl2Ge2 after structural relaxation (PBE, the Alexandria database).

Cell and atoms, written as POSCAR:
```
CaAl2Ge2
1.0
7.7714 0.0000 0.0000
0.0000 7.7714 0.0000
0.0000 0.0000 3.3393
Ca Al Ge
2 4 4
Cartesian
0.0000 0.0000 0.0000
3.8857 3.8857 0.0000
0.9490 2.9367 0.0000
2.9367 6.8224 0.0000
4.8347 0.9490 0.0000
6.8224 4.8347 0.0000
1.3042 5.1899 1.6697
2.5815 1.3042 1.6697
5.1899 6.4672 1.6697
6.4672 2.5815 1.6697
```

- Total energy: -38.49 eV for the cell shown
- Space-group type: P4/mbm (127)
- Calculated formation energy: -104 meV per atom

---

# 3
# Ca3AlGe4

Ca3AlGe4 after structural relaxation (PBE, the Alexandria database).

Cell and atoms, written as POSCAR:
```
Ca3AlGe4
1.0
-2.2369 2.9679 7.8235
2.2369 -2.9679 7.8235
2.2369 2.9679 -7.8235
Ca Al Ge
3 1 4
Cartesian
0.0000 0.0000 0.0000
2.2369 0.0000 4.8035
0.0000 2.9679 3.0200
0.0000 0.0000 7.8235
2.2369 1.2103 -1.8938
2.2369 1.2103 1.8938
0.0000 1.7576 5.9297
0.0000 1.7576 9.7173
```

- Total energy: -31.28 eV for the cell shown
- Space-group type: Immm (71)
- Calculated formation energy: -383 meV per atom

---

# 4
# CaAlGe3

CaAlGe3 after structural relaxation (PBE, the Alexandria database).

Cell and atoms, written as POSCAR:
```
CaAlGe3
1.0
5.3761 0.0000 0.0000
0.0000 5.3761 0.0000
0.0000 0.0000 5.3761
Ca Al Ge
1 1 3
Cartesian
0.0000 0.0000 0.0000
2.6880 2.6880 2.6880
0.0000 0.0000 2.6880
0.0000 2.6880 0.0000
2.6880 0.0000 0.0000
```

- Total energy: -14.35 eV for the cell shown
- Space-group type: Pm-3m (221)
- Calculated formation energy: 1050 meV per atom

---

# 5
# CaAlHgGe

CaAlHgGe after structural relaxation (PBE, the Alexandria database).

Cell and atoms, written as POSCAR:
```
CaAlHgGe
1.0
0.0000 3.5493 3.5493
3.5493 0.0000 3.5493
3.5493 3.5493 0.0000
Ca Al Hg Ge
1 1 1 1
Cartesian
0.0000 0.0000 0.0000
3.5493 3.5493 3.5493
5.3239 5.3239 5.3239
1.7746 1.7746 1.7746
```

- Total energy: -11.36 eV for the cell shown
- Space-group type: F-43m (216)
- Calculated formation energy: -175 meV per atom

---

# 6
# Ca2AlGe3Ir4

Ca2AlGe3Ir4 after structural relaxation (PBE, the Alexandria database).

Cell and atoms, written as POSCAR:
```
Ca2AlGe3Ir4
1.0
4.1836 0.0000 0.0000
0.0000 4.1836 0.0000
0.0000 0.0000 10.4801
Ca Al Ge Ir
2 1 3 4
Cartesian
0.0000 2.0918 2.5712
2.0918 0.0000 7.9089
0.0000 0.0000 5.2400
0.0000 2.0918 9.1299
2.0918 0.0000 1.3502
2.0918 2.0918 5.2400
0.0000 0.0000 0.0000
0.0000 2.0918 6.6427
2.0918 0.0000 3.8374
2.0918 2.0918 0.0000
```

- Total energy: -64.00 eV for the cell shown
- Space-group type: P-4m2 (115)
- Calculated formation energy: -696 meV per atom

---

# 7
# KCa2AlGe

KCa2AlGe after structural relaxation (PBE, the Alexandria database).

Cell and atoms, written as POSCAR:
```
KCa2AlGe
1.0
5.9379 0.0000 0.0000
0.0000 5.9379 0.0000
0.0000 0.0000 5.4055
K Ca Al Ge
1 2 1 1
Cartesian
0.0000 0.0000 0.0000
0.0000 2.9689 0.0000
2.9689 0.0000 0.0000
0.0000 0.0000 2.7028
2.9689 2.9689 2.7028
```

- Total energy: -7.75 eV for the cell shown
- Space-group type: P4/mmm (123)
- Calculated formation energy: 1142 meV per atom

---

# 8
# Li2CaAl2Ge2

Li2CaAl2Ge2 after structural relaxation (PBE, the Alexandria database).

Cell and atoms, written as POSCAR:
```
Li2CaAl2Ge2
1.0
3.7178 -2.1488 0.0000
3.7178 2.1488 0.0000
-2.4844 0.0000 8.1929
Li Ca Al Ge
2 1 2 2
Cartesian
-0.0030 0.0000 3.6302
4.9542 0.0000 4.5627
0.0000 0.0000 0.0000
2.4778 0.0000 2.6929
2.4735 0.0000 5.4999
-0.0065 0.0000 6.3253
4.9577 0.0000 1.8676
```

- Total energy: -25.29 eV for the cell shown
- Space-group type: C2/m (12)
- Calculated formation energy: -392 meV per atom

---

# 9
# LiCaAl2Ge2

LiCaAl2Ge2 after structural relaxation (PBE, the Alexandria database).

Cell and atoms, written as POSCAR:
```
LiCaAl2Ge2
1.0
4.4488 0.0000 0.0000
-2.2244 3.8528 0.0000
0.0000 0.0000 6.8055
Li Ca Al Ge
1 1 2 2
Cartesian
0.0000 0.0000 0.0000
0.0000 0.0000 3.4027
0.0000 2.5685 1.0735
2.2244 1.2843 5.7320
0.0000 2.5685 5.2119
2.2244 1.2843 1.5936
```

- Total energy: -22.73 eV for the cell shown
- Space-group type: P-3m1 (164)
- Calculated formation energy: -349 meV per atom

---

# 10
# LiCaAlGe2

LiCaAlGe2 after structural relaxation (PBE, the Alexandria database).

Cell and atoms, written as POSCAR:
```
LiCaAlGe2
1.0
-2.1213 2.1213 5.5195
2.1213 -2.1213 5.5195
2.1213 2.1213 -5.5195
Li Ca Al Ge
1 1 1 2
Cartesian
0.0000 0.0000 0.0000
0.0000 2.1213 2.7597
0.0000 0.0000 5.5195
2.1213 0.0000 1.4956
2.1213 0.0000 4.0239
```

- Total energy: -19.09 eV for the cell shown
- Space-group type: I-4m2 (119)
- Calculated formation energy: -439 meV per atom

---

# 11
# CaAlNi5Ge2

CaAlNi5Ge2 after structural relaxation (PBE, the Alexandria database).

Cell and atoms, written as POSCAR:
```
CaAlNi5Ge2
1.0
4.4177 0.0000 0.0000
0.0000 4.4177 0.0000
0.0000 0.0000 7.7127
Ca Al Ni Ge
1 1 5 2
Cartesian
0.0000 0.0000 0.0000
0.0000 0.0000 3.8564
0.0000 2.2088 2.6303
0.0000 2.2088 5.0825
2.2088 0.0000 2.6303
2.2088 0.0000 5.0825
2.2088 2.2088 0.0000
2.2088 2.2088 2.2172
2.2088 2.2088 5.4955
```

- Total energy: -44.45 eV for the cell shown
- Space-group type: P4/mmm (123)
- Calculated formation energy: -63 meV per atom

---

# 12
# Ca2AlNi4Ge3

Ca2AlNi4Ge3 after structural relaxation (PBE, the Alexandria database).

Cell and atoms, written as POSCAR:
```
Ca2AlNi4Ge3
1.0
4.0441 0.0000 0.0000
0.0000 4.0441 0.0000
0.0000 0.0000 10.1113
Ca Al Ni Ge
2 1 4 3
Cartesian
0.0000 2.0221 2.4948
2.0221 0.0000 7.6166
0.0000 0.0000 5.0557
0.0000 0.0000 0.0000
0.0000 2.0221 6.4171
2.0221 0.0000 3.6943
2.0221 2.0221 0.0000
0.0000 2.0221 8.8192
2.0221 0.0000 1.2922
2.0221 2.0221 5.0557
```

- Total energy: -50.09 eV for the cell shown
- Space-group type: P-4m2 (115)
- Calculated formation energy: -537 meV per atom

---

> Which value of total energy does entry 9 give?

-22.73 eV for the cell shown

---

> The highest total energy belongs to which entry?

KCa2AlGe

---

> What is the calculated formation energy in the eleventh record?

-63 meV per atom